[1]
The following is a GGA-PBE calculation of a geometry-optimized TaAl4Co structure, from the Alexandria database.

Cell lengths 5.056, 5.056, 5.056 Å; angles 60.00, 60.00, 60.00 degrees
Element x y z (fractional)
Ta 0.000 0.000 0.000
Al 0.125 0.625 0.625
Al 0.625 0.125 0.625
Al 0.625 0.625 0.125
Al 0.625 0.625 0.625
Co 0.250 0.250 0.250

## Properties
The value obtained for the total energy is -5.513 eV per atom. Its total moment is 1.0 μB/f.u. The value obtained for the energy relative to the elements is 0.14 eV/atom. Its space-group type is No. 216. The value obtained for the volume is 15.2 Å³/atom.

=====

[2]
The following is a GGA-PBE calculation of a geometry-optimized TaAlCo2 structure, from the Alexandria database.

Cell lengths 4.304, 4.304, 4.869 Å; angles 98.89, 98.89, 37.55 degrees
Element x y z (fractional)
Ta 0.000 0.000 0.000
Al 0.500 0.500 0.500
Co 0.245 0.245 0.739
Co 0.755 0.755 0.261

## Properties
The value obtained for the total energy is -7.575 eV per atom. Its total moment is 1.3 μB/f.u. The value obtained for the energy relative to the elements is -0.12 eV/atom. Its space-group type is No. 12. The value obtained for the volume is 13.6 Å³/atom.

=====

[3]
The following is a GGA-PBE calculation of a geometry-optimized TaAl2Co3 structure, from the Alexandria database.

Cell lengths 2.810, 2.810, 9.470 Å; angles 90.00, 90.00, 90.00 degrees
Element x y z (fractional)
Ta 0.000 0.000 0.000
Al 0.000 0.000 0.345
Al 0.000 0.000 0.655
Co 0.500 0.500 0.190
Co 0.500 0.500 0.500
Co 0.500 0.500 0.810

## Properties
The value obtained for the total energy is -7.249 eV per atom. Its total moment is 0.0 μB/f.u. The value obtained for the energy relative to the elements is -0.47 eV/atom. Its space-group type is No. 123. The value obtained for the volume is 12.5 Å³/atom.

=====

[4]
The following is a GGA-PBE calculation of a geometry-optimized Ta2AlCo structure, from the Alexandria database.

Cell lengths 5.149, 5.149, 5.149 Å; angles 143.12, 130.44, 63.35 degrees
Element x y z (fractional)
Ta 0.236 0.236 0.000
Ta 0.764 0.764 0.000
Al 0.500 0.000 0.500
Co 0.000 0.500 0.500

## Properties
The value obtained for the total energy is -8.810 eV per atom. Its total moment is 0.0 μB/f.u. The value obtained for the energy relative to the elements is -0.17 eV/atom. Its space-group type is No. 71. The value obtained for the volume is 15.4 Å³/atom.

=====

no.,density of states at the Fermi level (states/eV/cell)
1,6.26
2,4.01
3,1.96
4,3.83